[1]
! Tc2NiMo, relaxed, DFT PBE; values from VASP
! - Fermi-level density of states (states/eV per atom) = 0.914
! - formation energy (eV/atom) = 0.126
! - calculated volume (Å³/f.u.) = 56
! - crystal system = orthorhombic
&SYSTEM
  ibrav = 0, nat = 4, ntyp = 3
/
ATOMIC_SPECIES
Mo 95.94 Mo.upf
Tc 98.00 Tc.upf
Ni 58.69 Ni.upf
CELL_PARAMETERS angstrom
2.648 0.006 0.000
-0.652 2.566 0.000
0.000 0.000 8.302
ATOMIC_POSITIONS crystal
Mo 0.500 0.500 0.250
Tc 0.000 0.000 0.985
Tc 0.000 0.000 0.515
Ni 0.500 0.500 0.750


[2]
! TcNi4Mo, relaxed, DFT PBE; values from VASP
! - Fermi-level density of states (states/eV per atom) = 1.296
! - formation energy (eV/atom) = -0.003
! - calculated volume (Å³/f.u.) = 73
! - crystal system = cubic
&SYSTEM
  ibrav = 0, nat = 6, ntyp = 3
/
ATOMIC_SPECIES
Ni 58.69 Ni.upf
Tc 98.00 Tc.upf
Mo 95.94 Mo.upf
CELL_PARAMETERS angstrom
-2.144 2.910 2.975
-4.548 -0.563 0.956
-1.333 -1.530 4.219
ATOMIC_POSITIONS crystal
Ni 0.375 0.875 0.375
Ni 0.375 0.375 0.375
Ni 0.875 0.375 0.375
Ni 0.375 0.375 0.875
Tc 0.750 0.750 0.750
Mo 0.000 0.000 0.000


[3]
! TiTcNiMo, relaxed, DFT PBE; values from VASP
! - Fermi-level density of states (states/eV per atom) = 1.451
! - formation energy (eV/atom) = -0.156
! - calculated volume (Å³/f.u.) = 58
! - crystal system = cubic
&SYSTEM
  ibrav = 0, nat = 4, ntyp = 4
/
ATOMIC_SPECIES
Ni 58.69 Ni.upf
Ti 47.87 Ti.upf
Mo 95.94 Mo.upf
Tc 98.00 Tc.upf
CELL_PARAMETERS angstrom
-3.075 -1.182 2.821
1.010 -2.531 3.374
-0.003 1.637 4.016
ATOMIC_POSITIONS crystal
Ni 0.500 0.500 0.500
Ti 0.750 0.750 0.750
Mo 0.250 0.250 0.250
Tc 0.000 0.000 0.000


[4]
! VTcNiMo, relaxed, DFT PBE; values from VASP
! - Fermi-level density of states (states/eV per atom) = 1.567
! - formation energy (eV/atom) = 0.034
! - calculated volume (Å³/f.u.) = 55
! - crystal system = cubic
&SYSTEM
  ibrav = 0, nat = 4, ntyp = 4
/
ATOMIC_SPECIES
Mo 95.94 Mo.upf
V 50.94 V.upf
Ni 58.69 Ni.upf
Tc 98.00 Tc.upf
CELL_PARAMETERS angstrom
4.281 0.000 0.000
2.141 3.708 0.000
2.141 1.236 3.496
ATOMIC_POSITIONS crystal
Mo 0.000 0.000 0.000
V 0.500 0.500 0.500
Ni 0.250 0.250 0.250
Tc 0.750 0.750 0.750